Record 1
Material: CeRhN
Method: DFT, PBE
State: optimized geometry

CIF file:
```
data_CeRhN
_chemical_formula_sum 'Ce2 Rh2 N2'
_space_group_name_H-M_alt 'I 4 m m'
_space_group_IT_number 107
_space_group_name_Hall 'I 4 -2'
_cell_length_a 4.2254
_cell_length_b 4.2254
_cell_length_c 6.2461
_cell_angle_alpha 90.00
_cell_angle_beta 90.00
_cell_angle_gamma 90.00
loop_
_atom_site_label
_atom_site_fract_x
_atom_site_fract_y
_atom_site_fract_z
Ce1 0.0000 0.0000 0.0000
Rh1 0.0000 0.0000 0.3631
N1 0.0000 0.0000 0.6727
```

Electronic total energy in eV per formula unit: -22.6
Energy relative to the elements, uncorrected in meV/atom: -329

=====

Record 2
Material: Li2AlRe
Method: DFT, PBE
State: optimized geometry

CIF file:
```
data_Li2AlRe
_chemical_formula_sum 'Li4 Al2 Re2'
_space_group_name_H-M_alt 'I 4/m m m'
_space_group_IT_number 139
_space_group_name_Hall '-I 4 2'
_cell_length_a 3.5741
_cell_length_b 3.5741
_cell_length_c 9.0497
_cell_angle_alpha 90.00
_cell_angle_beta 90.00
_cell_angle_gamma 90.00
loop_
_atom_site_label
_atom_site_fract_x
_atom_site_fract_y
_atom_site_fract_z
Li1 0.0000 0.5000 0.2500
Al1 0.0000 0.0000 0.0000
Re1 0.0000 0.0000 0.5000
```

Electronic total energy in eV per formula unit: -19.2
Fermi-level density of states in states/eV per cell: 3.4
Energy of formation in eV per atom: 0.198

=====

Record 3
Material: LaTb6Sc2
Method: DFT, PBE
State: optimized geometry

CIF file:
```
data_LaTb6Sc2
_chemical_formula_sum 'La4 Tb24 Sc8'
_space_group_name_H-M_alt 'C 1 2/c 1'
_space_group_IT_number 15
_cell_length_a 13.5131
_cell_length_b 12.9240
_cell_length_c 6.5950
_cell_angle_alpha 90.00
_cell_angle_beta 103.72
_cell_angle_gamma 90.00
loop_
_space_group_symop_operation_xyz
'x,y,z'
'-x,-y,-z'
'-x,y,-z+1/2'
'x,-y,z+1/2'
'x+1/2,y+1/2,z'
'-x+1/2,-y+1/2,-z'
'-x+1/2,y+1/2,-z+1/2'
'x+1/2,-y+1/2,z+1/2'
loop_
_atom_site_label
_atom_site_fract_x
_atom_site_fract_y
_atom_site_fract_z
La1 0.0000 0.1443 0.2500
Tb1 0.0260 0.3598 0.9974
Tb2 0.1216 0.0846 0.8254
Tb3 0.2425 0.2937 0.7369
Sc1 0.1813 0.4700 0.3689
```

Electronic total energy in eV per formula unit: -44.2
Excess energy over the best structure of this formula in the dataset in kJ/mol of formula units: 16
Fermi-level density of states in states/eV per cell: 43.1
Energy of formation in eV per atom: 0.129

=====

Record 4
Material: Zr2TcNi
Method: DFT, PBE
State: optimized geometry

CIF file:
```
data_Zr2TcNi
_chemical_formula_sum 'Zr8 Tc4 Ni4'
_space_group_name_H-M_alt 'I -4 2 d'
_space_group_IT_number 122
_space_group_name_Hall 'I -4 2bw'
_cell_length_a 4.1777
_cell_length_b 4.1777
_cell_length_c 17.6253
_cell_angle_alpha 90.00
_cell_angle_beta 90.00
_cell_angle_gamma 90.00
loop_
_atom_site_label
_atom_site_fract_x
_atom_site_fract_y
_atom_site_fract_z
Zr1 0.2499 0.2500 0.1250
Tc1 0.0000 0.0000 0.0000
Ni1 0.0000 0.0000 0.5000
```

Electronic total energy in eV per formula unit: -31.1
Fermi-level density of states in states/eV per cell: 23.6
Energy of formation in eV per atom: 0.547